Entry i
Computed, not measured: an optimized crystal structure of NaSi3Se at the GGA-PBE level of DFT.

Output
As for the space group: Pm-3m (221).

Cell: 4.983 4.983 4.983 Å, 90.00 90.00 90.00°
Atoms (fractional coordinates):
Na 0.000 0.000 0.000
Si 0.000 0.500 0.000
Si 0.000 0.000 0.500
Si 0.500 0.000 0.000
Se 0.500 0.500 0.500


Entry ii
Computed, not measured: an optimized crystal structure of NaSi3Se at the GGA-PBE level of DFT.

Output
As for the space group: Pm-3m (221).

Cell: 5.049 5.049 5.049 Å, 90.00 90.00 90.00°
Atoms (fractional coordinates):
Na 0.500 0.500 0.500
Si 0.000 0.500 0.000
Si 0.000 0.000 0.500
Si 0.500 0.000 0.000
Se 0.000 0.000 0.000


Tell me which of them is the most stable. Sure, it is entry ii.


Entry i
Computed, not measured: an optimized crystal structure of Na4SiSe4 at the GGA-PBE level of DFT.

Output
As for the space group: Pnma (62).

Cell: 7.220 9.270 14.514 Å, 90.00 90.00 90.00°
Atoms (fractional coordinates):
Na 0.000 0.000 0.000
Na 0.500 0.000 0.500
Na 0.000 0.500 0.000
Na 0.500 0.500 0.500
Na 0.985 0.750 0.453
Na 0.485 0.250 0.047
Na 0.015 0.250 0.547
Na 0.515 0.750 0.953
Na 0.858 0.052 0.268
Na 0.358 0.948 0.232
Na 0.142 0.552 0.732
Na 0.642 0.448 0.768
Na 0.142 0.948 0.732
Na 0.642 0.052 0.768
Na 0.858 0.448 0.268
Na 0.358 0.552 0.232
Si 0.777 0.750 0.164
Si 0.277 0.250 0.336
Si 0.223 0.250 0.836
Si 0.723 0.750 0.664
Se 0.656 0.547 0.095
Se 0.156 0.453 0.405
Se 0.344 0.047 0.905
Se 0.844 0.953 0.595
Se 0.344 0.453 0.905
Se 0.844 0.547 0.595
Se 0.656 0.953 0.095
Se 0.156 0.047 0.405
Se 0.679 0.750 0.316
Se 0.179 0.250 0.184
Se 0.321 0.250 0.684
Se 0.821 0.750 0.816
Se 0.092 0.750 0.139
Se 0.592 0.250 0.361
Se 0.908 0.250 0.861
Se 0.408 0.750 0.639


Entry ii
Computed, not measured: an optimized crystal structure of Na4SiSe4 at the GGA-PBE level of DFT.

Output
As for the space group: I-42m (121).

Cell: 6.885 6.885 7.594 Å, 116.96 116.96 90.00°
Atoms (fractional coordinates):
Na 0.500 0.000 0.000
Na 0.000 0.500 0.000
Na 0.306 0.306 0.611
Na 0.694 0.694 0.389
Si 0.000 0.000 0.000
Se 0.690 0.690 0.763
Se 0.310 0.927 0.237
Se 0.073 0.073 0.763
Se 0.927 0.310 0.237


Tell me which of them is the most stable. Sure, it is entry i.


Entry i
Computed, not measured: an optimized crystal structure of Na3Sm2Si2Se6 at the GGA-PBE level of DFT.

Output
As for the space group: C2/m (12).

Cell: 7.287 7.287 7.685 Å, 80.80 80.80 119.60°
Atoms (fractional coordinates):
Na 0.000 0.000 0.000
Na 0.335 0.665 0.000
Na 0.665 0.335 0.000
Sm 0.167 0.833 0.500
Sm 0.833 0.167 0.500
Si 0.444 0.444 0.668
Si 0.556 0.556 0.332
Se 0.767 0.767 0.738
Se 0.233 0.233 0.262
Se 0.420 0.078 0.736
Se 0.580 0.922 0.264
Se 0.922 0.580 0.264
Se 0.078 0.420 0.736


Entry ii
Computed, not measured: an optimized crystal structure of Na3Sm2Si2Se6 at the GGA-PBE level of DFT.

Output
As for the space group: C2/m (12).

Cell: 7.250 7.250 7.765 Å, 78.22 78.22 113.88°
Atoms (fractional coordinates):
Na 0.000 0.000 0.000
Na 0.656 0.344 0.000
Na 0.344 0.656 0.000
Si 0.566 0.566 0.334
Si 0.434 0.434 0.666
Se 0.210 0.210 0.243
Se 0.790 0.790 0.757
Se 0.591 0.920 0.277
Se 0.409 0.080 0.723
Se 0.080 0.409 0.723
Se 0.920 0.591 0.277
Sm 0.837 0.163 0.500
Sm 0.163 0.837 0.500


Tell me which of them is the most stable. Sure, it is entry ii.


Entry i
Computed, not measured: an optimized crystal structure of NaSmSe2 at the GGA-PBE level of DFT.

Output
As for the space group: R3m (160).

Cell: 4.107 4.107 7.813 Å, 74.76 74.76 60.00°
Atoms (fractional coordinates):
Na 0.669 0.669 0.994
Sm 0.499 0.499 0.502
Se 0.087 0.087 0.740
Se 0.245 0.245 0.264


Entry ii
Computed, not measured: an optimized crystal structure of NaSmSe2 at the GGA-PBE level of DFT.

Output
As for the space group: P-3m1 (164).

Cell: 4.182 4.182 7.334 Å, 89.99 90.01 120.03°
Atoms (fractional coordinates):
Na 0.000 0.500 0.500
Sm 0.000 0.500 0.000
Se 0.667 0.833 0.770
Se 0.333 0.167 0.230


Entry iii
Computed, not measured: an optimized crystal structure of NaSmSe2 at the GGA-PBE level of DFT.

Output
As for the space group: R-3m (166).

Cell: 7.429 7.429 7.429 Å, 33.10 33.09 33.09°
Atoms (fractional coordinates):
Na 0.000 0.000 0.000
Sm 0.500 0.500 0.500
Se 0.755 0.755 0.755
Se 0.245 0.245 0.245


Tell me which of them is the most stable. Sure, it is entry iii.